[1]
The following is a DFT calculation (GGA-PBE) of a geometry-optimized RbIn2PbCl5 structure.

Unit cell a=4.418 b=18.428 c=16.612 alpha=90.00 beta=90.00 gamma=90.00
Space group Cmc2_1 (No. 36)
Inequivalent atoms, fractional coordinates:
Rb 0.000 0.057 0.000
In 0.000 0.350 0.821
In 0.000 0.448 0.224
Pb 0.000 0.246 0.605
Cl 0.000 0.038 0.337
Cl 0.000 0.090 0.603
Cl 0.000 0.236 0.989
Cl 0.000 0.262 0.223
Cl 0.000 0.404 0.636

Computed properties:
M_tot (μB per cell): 0.0
Formation energy (no corrections) (kcal/mol of atoms): -26.7

=====

[2]
The following is a DFT calculation (GGA-PBE) of a geometry-optimized Zn6CoCu3 structure.

Unit cell a=8.598 b=5.015 c=6.796 alpha=90.00 beta=109.68 gamma=90.00
Space group C2/m (No. 12)
Inequivalent atoms, fractional coordinates:
Zn 0.157 0.000 0.400
Zn 0.160 0.248 0.810
Co 0.000 0.000 0.000
Cu 0.000 0.500 0.500
Cu 0.093 0.500 0.189

Computed properties:
Formation energy from the elements (eV per atom): 0.056
M_tot (μB per cell): 1.0

=====

[3]
The following is a DFT calculation (GGA-PBE) of a geometry-optimized GaRe2BiBr structure.

Unit cell a=4.590 b=4.590 c=5.836 alpha=90.00 beta=90.00 gamma=90.00
Space group P4/mmm (No. 123)
Inequivalent atoms, fractional coordinates:
Ga 0.000 0.000 0.000
Re 0.000 0.500 0.500
Bi 0.500 0.500 0.000
Br 0.500 0.500 0.500

Computed properties:
M_tot (μB per cell): 0.0
Formation energy (no corrections) (kcal/mol of atoms): 49.6

=====

[4]
The following is a DFT calculation (GGA-PBE) of a geometry-optimized Zr2HgPt structure.

Unit cell a=6.509 b=3.604 c=8.039 alpha=90.00 beta=104.30 gamma=90.00
Space group C2/m (No. 12)
Inequivalent atoms, fractional coordinates:
Zr 0.239 0.000 0.213
Hg 0.000 0.000 0.500
Pt 0.000 0.500 0.000

Computed properties:
Formation energy from the elements (eV per atom): -0.385
M_tot (μB per cell): 0.0

=====

[5]
The following is a DFT calculation (GGA-PBE) of a geometry-optimized Li3Zn8Ga structure.

Unit cell a=5.1579 b=5.1579 c=25.0463 alpha=90.00 beta=90.00 gamma=120.00
Space group R3m (No. 160, hexagonal axes)
Inequivalent atoms, fractional coordinates:
Li 0.0000 0.0000 0.0000
Li 0.0000 0.0000 0.1253
Li 0.0000 0.0000 0.6240
Zn 0.0000 0.0000 0.3125
Zn 0.0000 0.0000 0.8117
Zn 0.0007 0.5003 0.5630
Zn 0.1676 0.3351 0.3949
Ga 0.0000 0.0000 0.5004

Computed properties:
Formation energy from the elements (eV per atom): -0.120
M_tot (μB per cell): 0.0

=====

[6]
The following is a DFT calculation (GGA-PBE) of a geometry-optimized Re2Ni2Ir3 structure.

Unit cell a=4.108 b=17.750 c=2.707 alpha=90.00 beta=90.00 gamma=90.00
Space group Cmmm (No. 65)
Inequivalent atoms, fractional coordinates:
Re 0.000 0.208 0.000
Ni 0.000 0.068 0.000
Ir 0.000 0.350 0.500
Ir 0.000 0.500 0.500

Computed properties:
Formation energy from the elements (eV per atom): 0.104
M_tot (μB per cell): 0.5